# 1
DFT (PBE-GGA) results for an optimized crystal structure of HAuC4N4O2.

It has space group P2_1/c (No. 14), with a = 6.466 Å, b = 8.224 Å, c = 7.687 Å, α = 90.00°, β = 93.13° and γ = 90.00°. The inequivalent atoms are H at (0.000, 0.000, 0.000), Au at (0.500, 0.000, 0.500), C at (0.245, 0.136, 0.527), C at (0.391, 0.576, 0.764), N at (0.096, 0.213, 0.544), N at (0.337, 0.629, 0.628) and O at (0.114, 0.581, 0.409).

For the total DFT energy (no corrections), the calculation gives -6.30 eV per atom. As for the volume: 17.0 Å³/atom. As for the total moment: 8.000 μB/cell.


# 2
DFT (PBE-GGA) results for an optimized crystal structure of LaYSbF2.

It has space group P4/mmm (No. 123), with a = 4.544 Å, b = 4.544 Å, c = 6.946 Å, α = 90.00°, β = 90.00° and γ = 90.00°. The inequivalent atoms are La at (0.000, 0.000, 0.000), Y at (0.500, 0.500, 0.500), Sb at (0.000, 0.000, 0.500) and F at (0.000, 0.500, 0.000).

As for the volume: 28.7 Å³/atom. The density of states at the Fermi level is 5.8 states/eV/f.u. The calculation puts the formation energy from raw total energies at -2.34 eV per atom. As for the total moment: 0.951 μB/cell.


# 3
DFT (PBE-GGA) results for an optimized crystal structure of CeHoZnSi.

It has space group F-43m (No. 216), with a = 7.094 Å, b = 7.094 Å, c = 7.094 Å, α = 90.00°, β = 90.00° and γ = 90.00°. The inequivalent atoms are Ce at (0.000, 0.000, 0.000), Ho at (0.000, 0.000, 0.500), Zn at (0.250, 0.250, 0.250) and Si at (0.250, 0.250, 0.750).

As for the volume: 22.3 Å³/atom. The density of states at the Fermi level is 6.4 states/eV/f.u. The calculation puts the formation energy from raw total energies at -0.41 eV per atom. As for the total moment: 3.181 μB/cell.


# 4
DFT (PBE-GGA) results for an optimized crystal structure of PuSnIrRh.

It has space group F-43m (No. 216), with a = 6.706 Å, b = 6.706 Å, c = 6.706 Å, α = 90.00°, β = 90.00° and γ = 90.00°. The inequivalent atoms are Pu at (0.000, 0.000, 0.000), Sn at (0.000, 0.000, 0.500), Ir at (0.250, 0.250, 0.250) and Rh at (0.250, 0.250, 0.750).

For the total DFT energy (no corrections), the calculation gives -9.04 eV per atom. As for the volume: 18.8 Å³/atom. The density of states at the Fermi level is 7.4 states/eV/f.u. As for the total moment: 18.430 μB/cell.


# 5
DFT (PBE-GGA) results for an optimized crystal structure of TlPIN2.

It has space group P4/mmm (No. 123), with a = 4.010 Å, b = 4.010 Å, c = 6.530 Å, α = 90.00°, β = 90.00° and γ = 90.00°. The inequivalent atoms are Tl at (0.000, 0.000, 0.000), P at (0.500, 0.500, 0.500), I at (0.500, 0.500, 0.000) and N at (0.000, 0.500, 0.500).

As for the volume: 21.0 Å³/atom. The density of states at the Fermi level is 2.1 states/eV/f.u. The calculation puts the formation energy from raw total energies at 1.41 eV per atom. As for the total moment: 1.386 μB/cell.


# 6
DFT (PBE-GGA) results for an optimized crystal structure of AsPW2.

It has space group Fm-3m (No. 225), with a = 6.152 Å, b = 6.152 Å, c = 6.152 Å, α = 90.00°, β = 90.00° and γ = 90.00°. The inequivalent atoms are As at (0.000, 0.000, 0.000), P at (0.000, 0.000, 0.500) and W at (0.250, 0.250, 0.250).

For the total DFT energy (no corrections), the calculation gives -8.88 eV per atom. As for the volume: 14.5 Å³/atom. The density of states at the Fermi level is 2.3 states/eV/f.u. As for the total moment: 0.000 μB/cell.


# 7
DFT (PBE-GGA) results for an optimized crystal structure of ThUFe10.

It has space group Pmmm (No. 47), with a = 4.113 Å, b = 4.891 Å, c = 8.517 Å, α = 90.00°, β = 90.00° and γ = 90.00°. The inequivalent atoms are Th at (0.000, 0.000, 0.000), U at (0.000, 0.500, 0.500), Fe at (0.000, 0.000, 0.344), Fe at (0.000, 0.500, 0.220), Fe at (0.500, 0.000, 0.500), Fe at (0.500, 0.247, 0.252) and Fe at (0.500, 0.500, 0.000).

For the total DFT energy (no corrections), the calculation gives -8.64 eV per atom. As for the volume: 14.3 Å³/atom. The density of states at the Fermi level is 13.5 states/eV/f.u. As for the total moment: 16.535 μB/cell.


# 8
DFT (PBE-GGA) results for an optimized crystal structure of La2CuRhN.

It has space group P4/mmm (No. 123), with a = 5.154 Å, b = 5.154 Å, c = 3.944 Å, α = 90.00°, β = 90.00° and γ = 90.00°. The inequivalent atoms are La at (0.000, 0.500, 0.000), Cu at (0.000, 0.000, 0.500), Rh at (0.500, 0.500, 0.500) and N at (0.500, 0.500, 0.000).

As for the volume: 21.0 Å³/atom. The density of states at the Fermi level is 5.3 states/eV/f.u. The calculation puts the formation energy from raw total energies at -0.59 eV per atom. As for the total moment: 0.000 μB/cell.


# 9
DFT (PBE-GGA) results for an optimized crystal structure of Cs2HgPbBr6.

It has space group Fm-3m (No. 225), with a = 11.651 Å, b = 11.651 Å, c = 11.651 Å, α = 90.00°, β = 90.00° and γ = 90.00°. The inequivalent atoms are Cs at (0.250, 0.250, 0.250), Hg at (0.000, 0.000, 0.000), Pb at (0.000, 0.000, 0.500) and Br at (0.000, 0.000, 0.244).

As for the volume: 39.5 Å³/atom. The density of states at the Fermi level is 0.0 states/eV/f.u. The calculation puts the formation energy from raw total energies at -1.13 eV per atom. As for the total moment: 0.000 μB/cell.


# 10
DFT (PBE-GGA) results for an optimized crystal structure of Ho5TlPb4.

It has space group I4 (No. 79), with a = 9.828 Å, b = 9.828 Å, c = 6.323 Å, α = 90.00°, β = 90.00° and γ = 90.00°. The inequivalent atoms are Ho at (0.000, 0.000, 0.000), Ho at (0.096, 0.684, 0.333), Tl at (0.000, 0.000, 0.509) and Pb at (0.107, 0.714, 0.832).

For the total DFT energy (no corrections), the calculation gives -4.28 eV per atom. As for the volume: 30.5 Å³/atom. The density of states at the Fermi level is 7.8 states/eV/f.u. As for the total moment: 0.000 μB/cell.


# 11
DFT (PBE-GGA) results for an optimized crystal structure of RbCd3.

It has space group R-3m (No. 166, hexagonal axes), with a = 5.0450 Å, b = 5.0450 Å, c = 19.5457 Å, α = 90.00°, β = 90.00° and γ = 120.00°. The inequivalent atoms are Rb at (0.0000, 0.0000, 0.0000), Cd at (0.0000, 0.0000, 0.1919) and Cd at (0.0000, 0.0000, 0.5000).

For the total DFT energy (no corrections), the calculation gives -0.99 eV per atom. As for the volume: 35.9 Å³/atom. The density of states at the Fermi level is 2.7 states/eV/f.u. As for the total moment: 0.000 μB/cell.


# 12
DFT (PBE-GGA) results for an optimized crystal structure of Cu2TcNi2.

It has space group P4/mbm (No. 127), with a = 6.839 Å, b = 6.839 Å, c = 2.589 Å, α = 90.00°, β = 90.00° and γ = 90.00°. The inequivalent atoms are Cu at (0.123, 0.377, 0.000), Tc at (0.000, 0.000, 0.000) and Ni at (0.176, 0.676, 0.500).

For the total DFT energy (no corrections), the calculation gives -5.77 eV per atom. As for the volume: 12.1 Å³/atom. The density of states at the Fermi level is 6.2 states/eV/f.u. As for the total moment: 0.002 μB/cell.


total moment of number 1 (HAuC4N4O2)? 8.000 μB/cell